# 1
## BeZn5Cu6 (PBE-GGA)

Data for a relaxed structure of BeZn5Cu6.

As for the calculated density: 7.93 g/cm3. The calculation puts the calculated formation energy at -0.08 eV per atom.

It has space group C2/m (No. 12), with a = 12.9140 Å, b = 5.9933 Å, c = 4.0838 Å, α = 90.00°, β = 108.03° and γ = 90.00°. The inequivalent atoms are Be at (0.0000, 0.0000, 0.0000), Zn at (0.0000, 0.5000, 0.0000), Zn at (0.1656, 0.5000, 0.6644), Zn at (0.1791, 0.0000, 0.6778), Cu at (0.0000, 0.2220, 0.5000) and Cu at (0.1539, 0.2330, 0.1523).



# 2
## BeZn2Cu (PBE-GGA)

Data for a relaxed structure of BeZn2Cu.

As for the calculated density: 6.12 g/cm3. The calculation puts the calculated formation energy at 0.37 eV per atom.

It has space group I-42d (No. 122), with a = 6.7983 Å, b = 6.7983 Å, c = 4.7775 Å, α = 90.00°, β = 90.00° and γ = 90.00°. The inequivalent atoms are Be at (0.0000, 0.0000, 0.0000), Zn at (0.2243, 0.2500, 0.1250) and Cu at (0.0000, 0.0000, 0.5000).



# 3
## BeZnCu14 (PBE-GGA)

Data for a relaxed structure of BeZnCu14.

As for the calculated density: 8.45 g/cm3. The calculation puts the calculated formation energy at -0.01 eV per atom.

It has space group Amm2 (No. 38), with a = 8.3227 Å, b = 5.1447 Å, c = 8.8526 Å, α = 90.00°, β = 90.00° and γ = 90.00°. The inequivalent atoms are Be at (0.0000, 0.0000, 0.0000), Zn at (0.0000, 0.0000, 0.4994), Cu at (0.0000, 0.2482, 0.2497), Cu at (0.2459, 0.0000, 0.8335), Cu at (0.2467, 0.2456, 0.0810), Cu at (0.2535, 0.0000, 0.3315), Cu at (0.5000, 0.0000, 0.1636), Cu at (0.5000, 0.0000, 0.6640) and Cu at (0.5000, 0.2484, 0.9148).



# 4
## BeZn2Cu2 (PBE-GGA)

Data for a relaxed structure of BeZn2Cu2.

As for the calculated density: 6.38 g/cm3. The calculation puts the calculated formation energy at 0.33 eV per atom.

It has space group I4/mmm (No. 139), with a = 3.3183 Å, b = 3.3183 Å, c = 12.6217 Å, α = 90.00°, β = 90.00° and γ = 90.00°. The inequivalent atoms are Be at (0.0000, 0.0000, 0.0000), Zn at (0.0000, 0.5000, 0.2500) and Cu at (0.0000, 0.0000, 0.4079).



# 5
## BeZn4Cu (PBE-GGA)

Data for a relaxed structure of BeZn4Cu.

As for the calculated density: 6.63 g/cm3. The calculation puts the calculated formation energy at 0.24 eV per atom.

It has space group F-43m (No. 216), with a = 6.9447 Å, b = 6.9447 Å, c = 6.9447 Å, α = 90.00°, β = 90.00° and γ = 90.00°. The inequivalent atoms are Be at (0.0000, 0.0000, 0.0000), Zn at (0.1251, 0.1251, 0.6251) and Cu at (0.2500, 0.2500, 0.2500).



# 6
## Be2Zn5Cu12 (PBE-GGA)

Data for a relaxed structure of Be2Zn5Cu12.

As for the calculated density: 7.81 g/cm3. The calculation puts the calculated formation energy at 0.00 eV per atom.

It has space group C2/m (No. 12), with a = 11.3406 Å, b = 6.9258 Å, c = 6.0031 Å, α = 90.00°, β = 92.86° and γ = 90.00°. The inequivalent atoms are Be at (0.0000, 0.1957, 0.0000), Zn at (0.0000, 0.5000, 0.5000), Zn at (0.1939, 0.0000, 0.9890), Zn at (0.2388, 0.5000, 0.5790), Cu at (0.0495, 0.0000, 0.3035), Cu at (0.0853, 0.5000, 0.8868), Cu at (0.1214, 0.2012, 0.6545) and Cu at (0.1486, 0.3156, 0.2367).



Copy entry 5 word for word.
## BeZn4Cu (PBE-GGA)

Data for a relaxed structure of BeZn4Cu.

As for the calculated density: 6.63 g/cm3. The calculation puts the calculated formation energy at 0.24 eV per atom.

It has space group F-43m (No. 216), with a = 6.9447 Å, b = 6.9447 Å, c = 6.9447 Å, α = 90.00°, β = 90.00° and γ = 90.00°. The inequivalent atoms are Be at (0.0000, 0.0000, 0.0000), Zn at (0.1251, 0.1251, 0.6251) and Cu at (0.2500, 0.2500, 0.2500).